# BaRuRh, optimized geometry, DFT PBEsol
data_BaRuRh
_chemical_formula_sum 'Ba4 Ru4 Rh4'
_cell_length_a 6.5621
_cell_length_b 6.5621
_cell_length_c 6.5621
_cell_angle_alpha 90.00
_cell_angle_beta 90.00
_cell_angle_gamma 90.00
_symmetry_space_group_name_H-M 'F -4 3 m'
_symmetry_Int_Tables_number 216
_symmetry_space_group_name_Hall 'F -4 2 3'
loop_
_atom_site_label
_atom_site_type_symbol
_atom_site_fract_x
_atom_site_fract_y
_atom_site_fract_z
Ba1 Ba 0.0000 0.0000 0.0000
Ru1 Ru 0.0000 0.0000 0.5000
Rh1 Rh 0.2500 0.2500 0.2500
# Size of the total moment, μB per formula unit: 2.36
# Formation enthalpy at 0 K, meV/atom: 1042
# Electronic total energy, eV/atom: -5.778


# TcAs2P, optimized geometry, DFT PBEsol
data_TcAs2P
_chemical_formula_sum 'Tc1 As2 P1'
_cell_length_a 3.0573
_cell_length_b 3.0573
_cell_length_c 6.5052
_cell_angle_alpha 90.00
_cell_angle_beta 90.00
_cell_angle_gamma 90.00
_symmetry_space_group_name_H-M 'P 4/m m m'
_symmetry_Int_Tables_number 123
_symmetry_space_group_name_Hall '-P 4 2'
loop_
_atom_site_label
_atom_site_type_symbol
_atom_site_fract_x
_atom_site_fract_y
_atom_site_fract_z
Tc1 Tc 0.0000 0.0000 0.0000
As1 As 0.5000 0.5000 0.2287
P1 P 0.0000 0.0000 0.5000
# Size of the total moment, μB per formula unit: 0.00
# Formation enthalpy at 0 K, meV/atom: 136
# Electronic total energy, eV/atom: -6.682